{
  "formula": "MnTcAs",
  "functional": "PBEsol",
  "state": "optimized geometry",
  "e_form_mev_per_atom": 104,
  "lattice": [[2.812, 0.000, 0.000], [0.000, 3.754, 0.000], [-1.406, -1.877, 3.688]],
  "species": ["As", "Tc", "Mn"],
  "fractional_positions": [[0.999, 0.999, 0.998], [0.330, 0.330, 0.659], [0.672, 0.672, 0.343]]
}

***

{
  "formula": "Mn2TcAs",
  "functional": "PBEsol",
  "state": "optimized geometry",
  "e_form_mev_per_atom": 60,
  "lattice": [[3.665, 0.000, 0.000], [0.000, 3.665, 0.000], [0.000, 0.000, 3.809]],
  "species": ["As", "Mn", "Mn", "Tc"],
  "fractional_positions": [[0.000, 0.000, 0.500], [0.000, 0.500, 0.000], [0.500, 0.000, 0.000], [0.500, 0.500, 0.500]]
}

***

{
  "formula": "MnTe2As",
  "functional": "PBEsol",
  "state": "optimized geometry",
  "e_form_raw_ev_per_atom": 0.689,
  "lattice": [[-2.914, -0.684, -0.754], [-0.694, -2.801, -1.094], [-3.103, -4.875, 10.097]],
  "species": ["Mn", "Te", "Te", "As"],
  "fractional_positions": [[0.000, 0.000, 0.000], [0.076, 0.076, 0.772], [0.924, 0.924, 0.228], [0.500, 0.500, 0.500]]
}

***

{
  "formula": "MnTe3As",
  "functional": "PBEsol",
  "state": "optimized geometry",
  "e_form_raw_ev_per_atom": 0.777,
  "lattice": [[5.317, 0.000, 0.000], [0.000, 5.317, 0.000], [0.000, 0.000, 5.317]],
  "species": ["Mn", "As", "Te", "Te", "Te"],
  "fractional_positions": [[0.500, 0.500, 0.500], [0.000, 0.000, 0.000], [0.000, 0.000, 0.500], [0.000, 0.500, 0.000], [0.500, 0.000, 0.000]]
}

***

{
  "formula": "Mn2TeAs",
  "functional": "PBEsol",
  "state": "optimized geometry",
  "e_form_raw_ev_per_atom": 0.039,
  "lattice": [[3.746, 0.000, 0.000], [1.873, 3.244, 0.000], [1.873, 1.081, 5.967]],
  "species": ["Te", "Mn", "Mn", "As"],
  "fractional_positions": [[0.500, 0.500, 0.500], [0.734, 0.734, 0.798], [0.266, 0.266, 0.202], [0.000, 0.000, 0.000]]
}

***

{
  "formula": "MnTe2As",
  "functional": "PBEsol",
  "state": "optimized geometry",
  "e_form_raw_ev_per_atom": 0.295,
  "lattice": [[3.428, 0.000, 0.000], [0.000, 3.428, 0.000], [0.000, 0.000, 7.009]],
  "species": ["As", "Mn", "Te", "Te"],
  "fractional_positions": [[0.500, 0.500, 0.000], [0.500, 0.500, 0.500], [0.000, 0.000, 0.274], [0.000, 0.000, 0.726]]
}

***

{
  "formula": "MnTeAs2",
  "functional": "PBEsol",
  "state": "optimized geometry",
  "e_form_raw_ev_per_atom": 0.428,
  "lattice": [[3.378, 0.000, 0.000], [0.000, 4.562, 0.000], [0.000, 0.000, 5.015]],
  "species": ["As", "As", "Mn", "Te"],
  "fractional_positions": [[0.500, 0.500, 0.000], [0.000, 0.000, 0.000], [0.500, 0.000, 0.500], [0.000, 0.500, 0.500]]
}

***

{
  "formula": "Mn2TeAs",
  "functional": "PBEsol",
  "state": "optimized geometry",
  "e_form_raw_ev_per_atom": 0.009,
  "lattice": [[3.283, 0.000, 0.000], [0.000, 3.283, 0.000], [0.000, 0.000, 6.448]],
  "species": ["Mn", "Mn", "Te", "As"],
  "fractional_positions": [[0.500, 0.500, 0.228], [0.000, 0.000, 0.999], [0.000, 0.000, 0.422], [0.500, 0.500, 0.851]]
}

***

{
  "formula": "MnTe2As2",
  "functional": "PBEsol",
  "state": "optimized geometry",
  "e_form_raw_ev_per_atom": 0.154,
  "lattice": [[-3.920, 4.323, 1.085], [-1.833, -2.966, 5.198], [4.328, 3.098, 3.294]],
  "species": ["As", "As", "As", "As", "Te", "Te", "Te", "Te", "Mn", "Mn"],
  "fractional_positions": [[0.000, 0.143, 0.357], [0.000, 0.643, 0.143], [0.000, 0.857, 0.643], [0.000, 0.357, 0.857], [0.500, 0.670, 0.170], [0.500, 0.170, 0.330], [0.500, 0.330, 0.830], [0.500, 0.830, 0.670], [0.000, 0.000, 0.000], [0.000, 0.500, 0.500]]
}

***

{
  "formula": "MnTeAs2",
  "functional": "PBEsol",
  "state": "optimized geometry",
  "e_form_raw_ev_per_atom": 0.285,
  "lattice": [[2.968, 0.000, 0.000], [0.000, 2.968, 0.000], [0.000, 0.000, 8.264]],
  "species": ["Mn", "As", "As", "Te"],
  "fractional_positions": [[0.000, 0.000, 0.486], [0.500, 0.500, 0.308], [0.000, 0.000, 0.026], [0.500, 0.500, 0.679]]
}

***

{
  "formula": "MnTe2As",
  "functional": "PBEsol",
  "state": "optimized geometry",
  "e_form_raw_ev_per_atom": 0.251,
  "lattice": [[-3.845, -1.083, -0.163], [1.290, -4.216, -2.410], [0.064, -0.970, 4.930]],
  "species": ["Mn", "Te", "Te", "As"],
  "fractional_positions": [[0.500, 0.000, 0.000], [0.000, 0.239, 0.761], [0.000, 0.761, 0.239], [0.500, 0.500, 0.500]]
}

***

{
  "formula": "MnTlAs2",
  "functional": "PBEsol",
  "state": "optimized geometry",
  "e_form_mev_per_atom": -4,
  "lattice": [[2.929, 0.000, 0.000], [0.000, 2.915, 0.160], [-1.465, -0.525, 8.851]],
  "species": ["As", "As", "Mn", "Tl"],
  "fractional_positions": [[0.143, 0.761, 0.286], [0.983, 0.757, 0.966], [0.562, 0.259, 0.124], [0.812, 0.723, 0.624]]
}

***

{
  "formula": "MnTlAs2",
  "functional": "PBEsol",
  "state": "optimized geometry",
  "e_form_mev_per_atom": 352,
  "lattice": [[3.177, 0.000, 0.000], [1.588, 2.751, 0.000], [1.588, 0.917, 8.546]],
  "species": ["Mn", "Tl", "As", "As"],
  "fractional_positions": [[0.489, 0.489, 0.534], [0.240, 0.240, 0.279], [0.765, 0.765, 0.705], [0.006, 0.006, 0.982]]
}

***

{
  "formula": "MnAsW2",
  "functional": "PBEsol",
  "state": "optimized geometry",
  "e_form_mev_per_atom": 365,
  "lattice": [[-2.564, -2.722, -0.513], [1.641, -0.929, -3.270], [2.833, -0.771, 3.818]],
  "species": ["Mn", "As", "W", "W"],
  "fractional_positions": [[0.250, 0.750, 0.500], [0.500, 0.500, 0.000], [0.000, 0.000, 0.000], [0.750, 0.250, 0.500]]
}

***

{
  "formula": "MnAsW2",
  "functional": "PBEsol",
  "state": "optimized geometry",
  "e_form_mev_per_atom": 249,
  "lattice": [[3.144, 0.000, 0.000], [0.000, 4.206, 0.000], [-1.572, -2.103, 4.228]],
  "species": ["As", "Mn", "W", "W"],
  "fractional_positions": [[0.500, 0.000, 0.000], [0.000, 0.500, 0.000], [0.249, 0.249, 0.497], [0.751, 0.751, 0.503]]
}

***

{
  "formula": "YMn2As",
  "functional": "PBEsol",
  "state": "optimized geometry",
  "e_form_mev_per_atom": 23,
  "lattice": [[3.956, 0.000, 0.000], [0.000, 4.003, 0.000], [-1.978, -2.001, 4.393]],
  "species": ["Mn", "Mn", "Y", "As"],
  "fractional_positions": [[0.252, 0.252, 0.503], [0.748, 0.748, 0.497], [0.500, 0.000, 0.000], [0.000, 0.500, 0.000]]
}

***

{
  "formula": "YMn2As",
  "functional": "PBEsol",
  "state": "optimized geometry",
  "e_form_mev_per_atom": 41,
  "lattice": [[-1.475, -1.022, 3.559], [2.544, -3.063, 0.175], [2.301, 4.504, 0.016]],
  "species": ["Mn", "Mn", "As", "Y"],
  "fractional_positions": [[0.000, 0.000, 0.000], [0.750, 0.250, 0.500], [0.250, 0.750, 0.500], [0.500, 0.500, 0.000]]
}

***

{
  "formula": "YMn2As",
  "functional": "PBEsol",
  "state": "optimized geometry",
  "e_form_mev_per_atom": -68,
  "lattice": [[3.203, 0.000, 0.000], [0.000, 3.203, 0.000], [0.000, 0.000, 6.539]],
  "species": ["As", "Y", "Mn", "Mn"],
  "fractional_positions": [[0.500, 0.500, 0.809], [0.000, 0.000, 0.495], [0.500, 0.500, 0.185], [0.000, 0.000, 0.011]]
}

***

{
  "formula": "YMn4As",
  "functional": "PBEsol",
  "state": "optimized geometry",
  "e_form_mev_per_atom": 195,
  "lattice": [[-2.544, 3.003, 2.858], [-2.324, -1.743, 3.901], [1.614, 1.056, 4.465]],
  "species": ["Y", "As", "Mn", "Mn", "Mn", "Mn"],
  "fractional_positions": [[0.750, 0.750, 0.750], [0.000, 0.000, 0.000], [0.373, 0.373, 0.373], [0.882, 0.373, 0.373], [0.373, 0.882, 0.373], [0.373, 0.373, 0.882]]
}

***

{
  "formula": "Mn2ZnAs",
  "functional": "PBEsol",
  "state": "optimized geometry",
  "e_form_mev_per_atom": 90,
  "lattice": [[3.768, 0.000, 0.000], [0.000, 3.768, 0.000], [-1.884, -1.884, 3.593]],
  "species": ["Mn", "Mn", "Zn", "As"],
  "fractional_positions": [[0.250, 0.750, 0.500], [0.750, 0.250, 0.500], [0.500, 0.500, 0.000], [0.000, 0.000, 0.000]]
}

***

{
  "formula": "Mn2ZnAs",
  "functional": "PBEsol",
  "state": "optimized geometry",
  "e_form_mev_per_atom": 108,
  "lattice": [[-2.115, 2.422, 0.442], [0.093, -0.503, 3.205], [3.894, 3.326, 0.408]],
  "species": ["Mn", "Mn", "As", "Zn"],
  "fractional_positions": [[0.500, 0.500, 0.257], [0.000, 0.000, 0.988], [0.500, 0.500, 0.779], [0.000, 0.000, 0.476]]
}

***

{
  "formula": "MnZn2As",
  "functional": "PBEsol",
  "state": "optimized geometry",
  "e_form_mev_per_atom": 88,
  "lattice": [[-3.491, 0.143, 1.433], [1.366, -0.866, 3.412], [0.488, 3.912, 0.797]],
  "species": ["Zn", "Zn", "As", "Mn"],
  "fractional_positions": [[0.500, 0.000, 0.000], [0.000, 0.500, 0.000], [0.500, 0.500, 0.500], [0.000, 0.000, 0.500]]
}

***

{
  "formula": "MnZn2As",
  "functional": "PBEsol",
  "state": "optimized geometry",
  "e_form_mev_per_atom": 128,
  "lattice": [[-1.126, -2.520, 0.277], [1.274, -0.118, 4.112], [-3.855, 3.297, 0.432]],
  "species": ["As", "Zn", "Zn", "Mn"],
  "fractional_positions": [[0.500, 0.000, 0.000], [0.263, 0.262, 0.526], [0.737, 0.738, 0.474], [0.000, 0.500, 0.000]]
}

***

{
  "formula": "ZrMn3As",
  "functional": "PBEsol",
  "state": "optimized geometry",
  "e_form_mev_per_atom": 500,
  "lattice": [[-3.040, -1.224, 2.953], [3.189, -1.442, 2.685], [0.220, 3.985, 1.878]],
  "species": ["Mn", "Mn", "Mn", "As", "Zr"],
  "fractional_positions": [[0.500, 0.000, 0.000], [0.000, 0.500, 0.000], [0.000, 0.000, 0.500], [0.000, 0.000, 0.000], [0.500, 0.500, 0.500]]
}

***

{
  "formula": "ZrMn2As",
  "functional": "PBEsol",
  "state": "optimized geometry",
  "e_form_mev_per_atom": -129,
  "lattice": [[3.839, 0.000, 0.000], [0.000, 3.839, 0.000], [-1.920, -1.920, 3.939]],
  "species": ["Mn", "Mn", "Zr", "As"],
  "fractional_positions": [[0.250, 0.750, 0.500], [0.750, 0.250, 0.500], [0.500, 0.500, 0.000], [0.000, 0.000, 0.000]]
}

***

{
  "formula": "ZrMn2As",
  "functional": "PBEsol",
  "state": "optimized geometry",
  "e_form_mev_per_atom": -131,
  "lattice": [[-0.276, -3.167, 0.588], [1.804, -0.641, -2.605], [4.597, 0.183, 3.139]],
  "species": ["Mn", "Mn", "As", "Zr"],
  "fractional_positions": [[0.000, 0.000, 0.719], [0.000, 0.000, 0.281], [0.500, 0.500, 0.500], [0.500, 0.500, 0.000]]
}

***

{
  "formula": "ZrMn2As",
  "functional": "PBEsol",
  "state": "optimized geometry",
  "e_form_mev_per_atom": -110,
  "lattice": [[-2.389, -2.637, 1.013], [1.214, 0.240, 3.486], [-2.294, 4.118, -1.447]],
  "species": ["As", "Mn", "Mn", "Zr"],
  "fractional_positions": [[0.250, 0.750, 0.500], [0.000, 0.000, 0.000], [0.750, 0.250, 0.500], [0.500, 0.500, 0.000]]
}

***

{
  "formula": "Mo5As4",
  "functional": "PBEsol",
  "state": "optimized geometry",
  "e_form_mev_per_atom": -320,
  "lattice": [[-0.658, -0.532, -3.133], [2.403, -6.436, -1.093], [-6.363, -2.807, 0.133]],
  "species": ["As", "As", "As", "As", "Mo", "Mo", "Mo", "Mo", "Mo"],
  "fractional_positions": [[0.713, 0.343, 0.231], [0.287, 0.657, 0.769], [0.944, 0.769, 0.343], [0.056, 0.231, 0.657], [0.000, 0.000, 0.000], [0.701, 0.921, 0.677], [0.622, 0.677, 0.079], [0.378, 0.323, 0.921], [0.299, 0.079, 0.323]]
}

***

{
  "formula": "Mo3As",
  "functional": "PBEsol",
  "state": "optimized geometry",
  "e_form_mev_per_atom": 84,
  "lattice": [[-2.688, 1.622, 0.009], [-2.011, -3.341, 1.685], [0.936, 1.528, 4.148]],
  "species": ["Mo", "Mo", "Mo", "As"],
  "fractional_positions": [[0.000, 0.645, 0.500], [0.500, 0.131, 0.500], [0.500, 0.517, 0.000], [0.000, 0.040, 0.000]]
}

***

{
  "formula": "MoAs3",
  "functional": "PBEsol",
  "state": "optimized geometry",
  "e_form_mev_per_atom": 346,
  "lattice": [[-0.746, 2.079, 3.011], [1.234, -4.303, 1.733], [3.596, 2.273, -2.223]],
  "species": ["As", "As", "As", "Mo"],
  "fractional_positions": [[0.500, 0.500, 0.500], [0.000, 0.500, 0.000], [0.000, 0.000, 0.500], [0.500, 0.000, 0.000]]
}